No. 1
# Mg2C, relaxed, DFT GGA-PBE
# E_tot ... -3.502 eV per atom
# Theoretical density ... 2.4 g/cm3
data_Mg2C
_cell_length_a 5.6081
_cell_length_b 5.6081
_cell_length_c 5.2621
_cell_angle_alpha 90.00
_cell_angle_beta 90.00
_cell_angle_gamma 90.00
_space_group_name_H-M_alt 'I 4/m c m'
_space_group_IT_number 140
_space_group_name_Hall '-I 4 2c'
loop_
_atom_site_label
_atom_site_type_symbol
_atom_site_fract_x
_atom_site_fract_y
_atom_site_fract_z
Mg1 Mg 0.1925 0.3075 0.0000
C1 C 0.0000 0.0000 0.2500


No. 2
# Hg7Bi2Pb3, relaxed, DFT GGA-PBE
# E_tot ... -1.704 eV per atom
# Theoretical density ... 11.1 g/cm3
data_Hg7Bi2Pb3
_cell_length_a 5.2226
_cell_length_b 3.4985
_cell_length_c 20.1755
_cell_angle_alpha 90.00
_cell_angle_beta 97.41
_cell_angle_gamma 90.00
_space_group_name_H-M_alt 'P 1 2/m 1'
_space_group_IT_number 10
loop_
_space_group_symop_operation_xyz
'x,y,z'
'-x,-y,-z'
'-x,y,-z'
'x,-y,z'
loop_
_atom_site_label
_atom_site_type_symbol
_atom_site_fract_x
_atom_site_fract_y
_atom_site_fract_z
Hg1 Hg 0.0000 0.0000 0.0000
Hg2 Hg 0.0958 0.0000 0.1930
Hg3 Hg 0.2665 0.5000 0.5330
Hg4 Hg 0.4251 0.5000 0.8490
Bi1 Bi 0.3473 0.5000 0.6914
Pb1 Pb 0.1869 0.0000 0.3769
Pb2 Pb 0.5000 0.5000 0.0000


No. 3
# NiAsRu, relaxed, DFT GGA-PBE
# E_tot ... -6.590 eV per atom
# Theoretical density ... 9.5 g/cm3
data_NiAsRu
_cell_length_a 3.9954
_cell_length_b 3.9954
_cell_length_c 2.9576
_cell_angle_alpha 90.00
_cell_angle_beta 90.00
_cell_angle_gamma 120.00
_space_group_name_H-M_alt 'P 3 m 1'
_space_group_IT_number 156
loop_
_space_group_symop_operation_xyz
'x,y,z'
'-y,x-y,z'
'-x+y,-x,z'
'-y,-x,z'
'-x+y,y,z'
'x,x-y,z'
loop_
_atom_site_label
_atom_site_type_symbol
_atom_site_fract_x
_atom_site_fract_y
_atom_site_fract_z
Ni1 Ni 0.0000 0.0000 0.0000
As1 As 0.6667 0.3333 0.7847
Ru1 Ru 0.3333 0.6667 0.5028


No. 4
# Na2PmBr6, relaxed, DFT GGA-PBE
# ΔE_f (raw) ... -1433 meV/atom
# E_tot ... -3.369 eV per atom
# Theoretical density ... 3.5 g/cm3
data_Na2PmBr6
_cell_length_a 12.5060
_cell_length_b 4.4479
_cell_length_c 13.1681
_cell_angle_alpha 90.00
_cell_angle_beta 118.31
_cell_angle_gamma 90.00
_space_group_name_H-M_alt 'C 1 2/m 1'
_space_group_IT_number 12
loop_
_space_group_symop_operation_xyz
'x,y,z'
'-x,-y,-z'
'-x,y,-z'
'x,-y,z'
'x+1/2,y+1/2,z'
'-x+1/2,-y+1/2,-z'
'-x+1/2,y+1/2,-z'
'x+1/2,-y+1/2,z'
loop_
_atom_site_label
_atom_site_type_symbol
_atom_site_fract_x
_atom_site_fract_y
_atom_site_fract_z
Na1 Na 0.1398 0.0000 0.3382
Pm1 Pm 0.0000 0.5000 0.0000
Br1 Br 0.0932 0.5000 0.4633
Br2 Br 0.0973 0.0000 0.9230
Br3 Br 0.2002 0.5000 0.2266


No. 5
# ZrTl2Ir, relaxed, DFT GGA-PBE
# E_tot ... -5.460 eV per atom
# Theoretical density ... 12.8 g/cm3
data_ZrTl2Ir
_cell_length_a 3.6132
_cell_length_b 4.9384
_cell_length_c 10.0570
_cell_angle_alpha 90.00
_cell_angle_beta 90.00
_cell_angle_gamma 90.00
_space_group_name_H-M_alt 'I m m 2'
_space_group_IT_number 44
loop_
_space_group_symop_operation_xyz
'x,y,z'
'-x,-y,z'
'-x,y,z'
'x,-y,z'
'x+1/2,y+1/2,z+1/2'
'-x+1/2,-y+1/2,z+1/2'
'-x+1/2,y+1/2,z+1/2'
'x+1/2,-y+1/2,z+1/2'
loop_
_atom_site_label
_atom_site_type_symbol
_atom_site_fract_x
_atom_site_fract_y
_atom_site_fract_z
Zr1 Zr 0.0000 0.0000 0.0000
Tl1 Tl 0.0000 0.0000 0.4386
Tl2 Tl 0.0000 0.5000 0.2196
Ir1 Ir 0.0000 0.5000 0.6859